1.
4
Lattice="4.894 -0.006 0.000 -2.002 4.466 0.000 0.000 0.000 2.770" Properties=species:S:1:pos:R:3 comment="AlZn2W GGA-PBE relaxed" formation_enthalpy_0k_ev_per_atom=0.137 mass_density_g_cm3=9.4 n_ef_per_ev_fu=2.0 vol_a3_per_atom=15.1 sg="Cmmm (65)" pbc="T T T"
Al 2.447 -0.003 1.385
Zn 0.000 0.000 0.000
Zn 1.446 2.230 0.000
W -1.001 2.233 1.385

2.
12
Lattice="-2.764 -3.769 -0.124 4.739 -0.615 1.197 -2.062 1.222 8.788" Properties=species:S:1:pos:R:3 comment="Al4ZnW GGA-PBE relaxed" formation_enthalpy_0k_ev_per_atom=-0.017 mass_density_g_cm3=6.4 e_above_lowest_polymorph_kj_per_mol_atoms=0.00 n_ef_per_ev_fu=3.2 vol_a3_per_atom=15.4 sg="Cmc2_1 (36)" pbc="T T T"
Zn 1.597 -1.287 3.537
Al -1.624 0.959 7.038
W -0.278 -2.879 5.565
Al -0.029 -0.149 5.176
Al 0.781 -3.509 1.112
Zn -1.955 -1.713 7.485
Al 1.332 -3.999 3.700
Al -0.817 -2.397 2.919
Al 0.549 -0.657 7.718
Al 3.185 -2.389 1.608
Al -2.471 -1.247 4.844
W 1.000 -0.762 0.849

3.
4
Lattice="-0.899 0.435 -4.220 -2.103 -1.721 0.271 -3.105 3.982 1.072" Properties=species:S:1:pos:R:3 comment="AlZn2W GGA-PBE relaxed" formation_enthalpy_0k_ev_per_atom=0.142 mass_density_g_cm3=9.3 n_ef_per_ev_fu=1.9 vol_a3_per_atom=15.3 sg="Pm (6)" pbc="T T T"
Zn -1.733 0.748 -1.782
Zn -3.621 3.534 1.136
W -4.321 1.870 -1.114
Al -2.141 1.655 0.627